No. 1
Below is a relaxed Pm8Sb2Rh crystal, with properties calculated at the PBE level.

Output
* symmetry: C2/m
* energy: -5.40 eV/atom

Structure (CIF):
```
data_Pm8Sb2Rh
_space_group_name_H-M_alt 'P 1'
_space_group_IT_number 1
_cell_length_a 4.725
_cell_length_b 7.557
_cell_length_c 9.845
_cell_angle_alpha 98.56
_cell_angle_beta 103.89
_cell_angle_gamma 90.00
loop_
_space_group_symop_operation_xyz
'x,y,z'
loop_
_atom_site_label
_atom_site_type_symbol
_atom_site_fract_x
_atom_site_fract_y
_atom_site_fract_z
Pm1 Pm 0.215 0.347 0.430
Pm2 Pm 0.785 0.653 0.570
Pm3 Pm 0.595 0.511 0.191
Pm4 Pm 0.994 0.222 0.988
Pm5 Pm 0.354 0.973 0.707
Pm6 Pm 0.405 0.489 0.809
Pm7 Pm 0.646 0.027 0.293
Pm8 Pm 0.006 0.778 0.012
Sb1 Sb 0.183 0.766 0.366
Sb2 Sb 0.817 0.234 0.634
Rh1 Rh 0.500 0.000 0.000
```

***

No. 2
Below is a relaxed Ca3Tb3MgSe8 crystal, with properties calculated at the PBE level.

Output
* symmetry: R-3m
* energy: -5.12 eV/atom

Structure (CIF):
```
data_Ca3Tb3MgSe8
_space_group_name_H-M_alt 'P 1'
_space_group_IT_number 1
_cell_length_a 8.202
_cell_length_b 8.202
_cell_length_c 8.313
_cell_angle_alpha 119.56
_cell_angle_beta 90.00
_cell_angle_gamma 120.00
loop_
_space_group_symop_operation_xyz
'x,y,z'
loop_
_atom_site_label
_atom_site_type_symbol
_atom_site_fract_x
_atom_site_fract_y
_atom_site_fract_z
Mg1 Mg 0.000 0.000 0.500
Tb1 Tb 0.500 0.000 0.500
Tb2 Tb 0.500 0.500 0.500
Tb3 Tb 0.000 0.500 0.500
Se1 Se 0.753 0.994 0.735
Se2 Se 0.759 0.006 0.265
Se3 Se 0.748 0.497 0.745
Se4 Se 0.241 0.482 0.735
Se5 Se 0.241 0.994 0.735
Se6 Se 0.247 0.006 0.265
Se7 Se 0.759 0.518 0.265
Se8 Se 0.252 0.503 0.255
Ca1 Ca 0.000 0.500 0.000
Ca2 Ca 0.000 0.000 0.000
Ca3 Ca 0.500 0.500 0.000
```